## NaCuAg (PBE)

Data for a relaxed NaCuAg crystal.

Properties
ΔH_f (0 K), eV/atom: 0.17

Cell: 4.130 4.130 7.854 Å, 105.25 105.25 90.00°
Positions (direct):
Ag: 0.111 0.111 0.222
Ag: 0.889 0.889 0.778
Cu: 0.000 0.500 0.000
Cu: 0.500 0.000 0.000
Na: 0.669 0.669 0.338
Na: 0.331 0.331 0.662